[1]
The following is a DFT calculation (PBE) of an optimized crystal structure of YP2OsO.

The structure belongs to space group P4/mmm (No. 123); the cell edges are 5.283, 5.283 and 4.028 Å and the angles 90.00°, 90.00° and 90.00°. The asymmetric unit holds Y at (0.000, 0.000, 0.000), P at (0.000, 0.500, 0.000), Os at (0.500, 0.500, 0.500) and O at (0.000, 0.000, 0.500).

As for the energy relative to the elements, uncorrected: 4.53 eV/f.u. Its total energy is -28.9 eV per cell. The energy above the lowest structure with this stoichiometry comes out at 1.403 eV per atom. Its total magnetization is 2.4 Bohr magnetons per cell.


[2]
The following is a DFT calculation (PBE) of an optimized crystal structure of YRe2Mo.

The structure belongs to space group F-43m (No. 216); the cell edges are 6.487, 6.487 and 6.487 Å and the angles 90.00°, 90.00° and 90.00°. The asymmetric unit holds Y at (0.000, 0.000, 0.000), Re at (0.000, 0.000, 0.500), Re at (0.250, 0.250, 0.250) and Mo at (0.250, 0.250, 0.750).

Its formation energy is 0.25 eV per atom. Its total energy is -164.7 eV per cell. The energy above the lowest structure with this stoichiometry comes out at 0.073 eV per atom. Its total magnetization is 0.0 Bohr magnetons per cell.


[3]
The following is a DFT calculation (PBE) of an optimized crystal structure of CsYHg2F8.

The structure belongs to space group P-1 (No. 2); the cell edges are 5.091, 5.570 and 8.680 Å and the angles 85.22°, 88.51° and 89.61°. The asymmetric unit holds Cs at (0.000, 0.000, 0.000), Y at (0.000, 0.000, 0.500), Hg at (0.483, 0.500, 0.721), F at (0.131, 0.233, 0.670), F at (0.169, 0.223, 0.302), F at (0.349, 0.745, 0.525) and F at (0.474, 0.724, 0.077).

As for the energy relative to the elements, uncorrected: -30.00 eV/f.u. Its total energy is -52.9 eV per cell. Its total magnetization is 0.0 Bohr magnetons per cell.


[4]
The following is a DFT calculation (PBE) of an optimized crystal structure of BaNiN.

The structure belongs to space group Cm (No. 8); the cell edges are 11.368, 5.417 and 4.298 Å and the angles 90.00°, 92.94° and 90.00°. The asymmetric unit holds Ba at (0.000, 0.000, 0.000), Ba at (0.195, 0.500, 0.494), Ni at (0.301, 0.000, 0.020), Ni at (0.416, 0.000, 0.551), N at (0.024, 0.500, 0.919) and N at (0.456, 0.000, 0.153).

As for the energy relative to the elements, uncorrected: -0.27 eV/f.u. Its total energy is -65.2 eV per cell. Its total magnetization is 0.0 Bohr magnetons per cell.


[5]
The following is a DFT calculation (PBE) of an optimized crystal structure of PmLuInCo.

The structure belongs to space group F-43m (No. 216); the cell edges are 7.219, 7.219 and 7.219 Å and the angles 90.00°, 90.00° and 90.00°. The asymmetric unit holds Pm at (0.000, 0.000, 0.000), Lu at (0.000, 0.000, 0.500), In at (0.250, 0.250, 0.750) and Co at (0.250, 0.250, 0.250).

Its formation energy is -0.17 eV per atom. Its total energy is -79.1 eV per cell. Its total magnetization is 4.9 Bohr magnetons per cell.


[6]
The following is a DFT calculation (PBE) of an optimized crystal structure of LuCuPb.

The structure belongs to space group I4mm (No. 107); the cell edges are 3.422, 3.422 and 11.579 Å and the angles 90.00°, 90.00° and 90.00°. The asymmetric unit holds Lu at (0.000, 0.000, 0.000), Cu at (0.000, 0.000, 0.633) and Pb at (0.000, 0.000, 0.291).

Its formation energy is -0.14 eV per atom. Its total energy is -25.5 eV per cell. Its total magnetization is 0.0 Bohr magnetons per cell.